[1]
A plane-wave DFT calculation with PBE was carried out for a relaxed Pm6P3HS2 crystal.

VASP energy = -6.252 eV per atom

Structure (POSCAR):
```
Pm6P3HS2
1.0
4.0783 0.0000 0.0000
0.0000 8.0817 0.3094
-2.0392 -2.3075 8.4746
Pm P H S
6 3 1 2
direct
0.3315 0.9185 0.6629
0.6668 0.5876 0.3335
0.6685 0.0815 0.3371
0.9988 0.2579 0.9975
0.0012 0.7421 0.0025
0.3332 0.4124 0.6665
0.5000 0.5000 0.0000
0.8332 0.1647 0.6664
0.1668 0.8353 0.3336
0.5000 0.0000 0.0000
0.8351 0.6687 0.6702
0.1649 0.3313 0.3298
```

=====

[2]
A plane-wave DFT calculation with PBE was carried out for a relaxed Pm6P2HS3 crystal.

VASP energy = -6.193 eV per atom

Structure (POSCAR):
```
Pm6P2HS3
1.0
-1.5700 2.6869 2.6195
-7.3353 -3.0017 -1.3175
3.8302 -6.1091 5.4036
Pm P H S
6 2 1 3
direct
0.3320 0.9133 0.6639
0.6688 0.5798 0.3377
0.6680 0.0867 0.3361
0.9995 0.2562 0.9991
0.0005 0.7438 0.0009
0.3312 0.4202 0.6623
0.8364 0.6718 0.6728
0.1636 0.3282 0.3272
0.5000 0.0000 0.0000
0.5000 0.5000 0.0000
0.8325 0.1656 0.6651
0.1675 0.8344 0.3349
```

=====

[3]
A plane-wave DFT calculation with PBE was carried out for a relaxed Pm4SbP2H crystal.

VASP energy = -5.913 eV per atom

Structure (POSCAR):
```
Pm4SbP2H
1.0
-2.1315 -0.0929 3.5891
1.6226 -6.7390 -1.6396
11.9834 1.1466 7.1462
Pm Sb P H
8 2 4 2
direct
0.2655 0.5309 0.1162
0.7345 0.4691 0.6162
0.7345 0.4691 0.8838
0.2655 0.5309 0.3838
0.0000 0.0000 0.5000
0.0000 0.0000 0.0000
0.4355 0.8710 0.7500
0.5645 0.1290 0.2500
0.1079 0.2158 0.7500
0.8921 0.7842 0.2500
0.3657 0.7314 0.5606
0.6343 0.2686 0.0606
0.6343 0.2686 0.4394
0.3657 0.7314 0.9394
0.8434 0.6867 0.7500
0.1566 0.3133 0.2500
```

=====

What is the formula in the third record? Pm4SbP2H

=====

Which formula does entry 2 have? Pm6P2HS3

=====

Number 2 is which compound? Pm6P2HS3

=====

Number 3 is which compound? Pm4SbP2H